Entry 1:
The following is a DFT calculation (PBE) of crystalline NaBiPt3 at its relaxed geometry.

Structure (POSCAR):
```
NaBiPt3
1.0
5.151 0.000 0.000
0.000 5.151 0.000
0.000 0.000 5.151
Na Pt Bi
1 3 1
Cartesian
2.576 2.576 2.576
0.000 0.000 2.576
0.000 2.576 0.000
2.576 0.000 0.000
0.000 0.000 0.000
```

* distance to the lowest polymorph of the same formula: 0.0 meV per atom
* energy relative to the elements: 644 meV/atom
* theoretical density: 9.93 g cm⁻³
* space-group type: Pm-3m


Entry 2:
The following is a DFT calculation (PBE) of crystalline La8AlAg2 at its relaxed geometry.

Structure (POSCAR):
```
La8AlAg2
1.0
5.285 0.000 0.000
0.000 7.578 -0.051
-2.643 -3.305 8.790
La Al Ag
8 1 2
Cartesian
0.000 -2.034 5.797
0.000 5.710 0.354
0.000 1.356 7.242
2.643 3.203 5.395
2.643 -1.437 8.386
0.000 1.071 3.344
2.643 2.918 1.498
2.643 6.308 2.942
2.643 0.000 0.000
2.643 0.128 5.678
0.000 4.145 3.062
```

* distance to the lowest polymorph of the same formula: 0.0 meV per atom
* energy relative to the elements: -142 meV/atom
* theoretical density: 6.40 g cm⁻³
* space-group type: C2/m


Entry 3:
The following is a DFT calculation (PBE) of crystalline Mn2CrPb at its relaxed geometry.

Structure (POSCAR):
```
Mn2CrPb
1.0
-3.095 -1.309 -3.615
1.558 -4.171 -2.130
-0.751 1.228 4.721
Mn Cr Pb
2 1 1
Cartesian
0.000 0.000 0.000
0.019 -2.842 -0.141
-2.308 -1.410 -0.883
-0.769 -2.740 -2.873
```

* energy relative to the elements: 642 meV/atom
* theoretical density: 9.46 g cm⁻³
* space-group type: I-4m2


Entry 4:
The following is a DFT calculation (PBE) of crystalline ErHfCSe at its relaxed geometry.

Structure (POSCAR):
```
ErHfCSe
1.0
3.536 0.000 0.000
-1.767 3.062 0.000
-1.768 -1.020 6.501
Hf C Se Er
1 1 1 1
Cartesian
-1.434 2.838 0.379
-1.433 0.797 5.811
2.102 0.797 2.272
0.334 -0.224 4.344
```

* calculated total energy: -31.8 eV/f.u.
* theoretical density: 10.30 g cm⁻³
* space-group type: R3m


Entry 5:
The following is a DFT calculation (PBE) of crystalline Y3Tm2In2 at its relaxed geometry.

Structure (POSCAR):
```
Y3Tm2In2
1.0
5.366 0.000 0.000
-2.683 4.643 -0.281
0.000 -2.611 8.123
In Y Tm
2 3 2
Cartesian
0.000 1.620 1.092
2.683 0.413 6.751
2.683 0.223 3.653
0.000 1.810 4.190
2.683 0.000 0.000
0.000 -1.196 5.852
2.683 3.228 1.991
```

* distance to the lowest polymorph of the same formula: 0.0 meV per atom
* energy relative to the elements: -272 meV/atom
* theoretical density: 6.98 g cm⁻³
* space-group type: R-3m


Entry 6:
The following is a DFT calculation (PBE) of crystalline TlIn2Os at its relaxed geometry.

Structure (POSCAR):
```
TlIn2Os
1.0
-2.033 4.067 0.777
-3.151 -1.598 0.120
-1.014 -1.525 5.327
Os In Tl
1 2 1
Cartesian
-1.486 -1.272 2.771
-0.167 -0.139 0.288
-2.653 0.962 1.713
-3.974 -0.169 4.175
```

* distance to the lowest polymorph of the same formula: 212.8 meV per atom
* energy relative to the elements: 572 meV/atom
* theoretical density: 11.89 g cm⁻³
* space-group type: Amm2


Entry 7:
The following is a DFT calculation (PBE) of crystalline BiRu2Rh2 at its relaxed geometry.

Structure (POSCAR):
```
BiRu2Rh2
1.0
-0.033 -3.107 -2.558
-0.074 -2.558 3.107
-5.606 -2.732 0.224
Ru Rh Bi
2 2 1
Cartesian
-4.498 -5.585 0.509
-1.215 -2.811 0.264
-2.867 -4.061 1.803
-2.846 -4.336 -1.030
0.000 0.000 0.000
```

* distance to the lowest polymorph of the same formula: 90.6 meV per atom
* energy relative to the elements: 475 meV/atom
* theoretical density: 11.39 g cm⁻³
* space-group type: I4/mmm


Entry 8:
The following is a DFT calculation (PBE) of crystalline Y2MgAu3 at its relaxed geometry.

Structure (POSCAR):
```
Y2MgAu3
1.0
4.991 0.000 0.000
-2.495 4.322 0.000
0.000 0.000 12.182
Au Mg Y
6 2 4
Cartesian
0.000 0.000 9.120
0.000 0.000 3.062
2.495 1.441 0.981
0.000 2.881 11.201
2.495 1.441 7.003
0.000 2.881 5.179
0.000 2.881 8.100
2.495 1.441 4.082
2.495 1.441 9.986
0.000 0.000 0.000
0.000 2.881 2.196
0.000 0.000 6.091
```

* energy relative to the elements: -801 meV/atom
* theoretical density: 10.02 g cm⁻³
* space-group type: P-3m1


Entry 9:
The following is a DFT calculation (PBE) of crystalline KAsO3 at its relaxed geometry.

Structure (POSCAR):
```
KAsO3
1.0
-4.272 -6.435 -0.784
9.669 -4.094 5.144
-5.153 2.036 11.298
O K As
36 12 12
Cartesian
7.452 -5.762 5.555
3.389 -4.200 10.180
-3.145 -4.293 5.478
0.383 -4.243 13.934
3.084 -9.374 5.489
-0.139 -4.251 1.724
-2.690 -2.206 9.717
-3.624 -4.670 2.207
5.006 -2.358 8.691
-1.485 -3.620 7.642
3.390 -1.619 15.197
-1.271 -6.240 6.433
-4.762 -6.136 6.967
1.741 -1.920 12.941
-5.926 -3.840 5.689
2.988 -3.357 5.954
4.524 -5.028 7.760
-5.516 -4.608 11.457
5.760 -3.885 4.201
1.271 -6.643 2.465
-2.744 -5.137 9.704
6.170 -4.654 9.969
-7.208 -2.732 10.103
0.679 -4.710 10.553
1.729 -4.873 8.016
0.030 -7.479 11.846
-3.146 -6.875 0.461
1.515 -2.253 9.224
-1.027 -1.850 13.193
-2.840 0.880 10.168
0.215 -1.015 3.812
-4.280 -3.466 7.898
-1.496 -6.574 2.716
3.868 -3.824 13.451
2.933 -6.287 5.942
-0.436 -3.784 5.105
5.331 -7.597 4.940
1.865 -3.477 3.437
-1.621 -5.017 12.221
0.741 -7.806 5.146
-3.187 -0.201 7.556
2.272 -5.979 12.529
-5.087 -0.896 10.718
-0.497 -0.688 10.512
-2.028 -2.514 3.128
3.431 -8.294 8.102
-0.651 -6.849 9.088
0.895 -1.644 6.569
1.713 -3.883 9.541
-2.784 -3.665 8.915
7.303 -4.151 5.132
-3.212 -6.290 2.181
-4.634 -4.537 6.484
3.456 -2.204 13.476
-0.079 -5.923 1.799
3.028 -4.829 6.744
4.878 -3.956 9.174
0.324 -2.571 13.859
-1.469 -4.611 6.117
-7.059 -4.342 10.525
```

* calculated total energy: -28.2 eV/f.u.
* theoretical density: 2.89 g cm⁻³
* space-group type: P-1


Entry 10:
The following is a DFT calculation (PBE) of crystalline Dy2Al2Te7 at its relaxed geometry.

Structure (POSCAR):
```
Dy2Al2Te7
1.0
7.421 -0.101 -0.132
-1.455 7.772 -0.550
-1.455 -2.547 7.364
Te Al Dy
7 2 2
Cartesian
4.665 -0.435 3.226
0.926 1.776 2.315
-0.152 5.559 3.455
0.000 0.000 0.000
-0.152 1.896 6.265
4.665 3.229 0.416
3.587 3.348 4.366
-1.279 3.909 5.097
5.791 1.215 1.584
2.256 4.585 1.789
2.256 0.539 4.892
```

* calculated total energy: -46.2 eV/f.u.
* theoretical density: 5.14 g cm⁻³
* space-group type: C2/m


> Which of these has the highest theoretical density?

TlIn2Os


> The highest theoretical density belongs to which entry?

TlIn2Os


> Look up the theoretical density of the first one.

9.93 g cm⁻³